1.
Compound: NaCd5Rh2
Source: Alexandria
Functional: PBE
Structure: relaxed

Structure (POSCAR):
```
NaCd5Rh2
1.0
-1.8636 4.3742 -2.3091
-2.8592 -3.9442 2.0512
-0.0884 6.8106 12.9726
Cd Rh Na
10 4 2
direct
0.4080 0.5920 0.4161
0.4080 0.5920 0.0839
0.1248 0.8752 0.7500
0.9074 0.0926 0.5923
0.5920 0.4080 0.9161
0.9074 0.0926 0.9077
0.0926 0.9074 0.4077
0.0926 0.9074 0.0923
0.8752 0.1248 0.2500
0.5920 0.4080 0.5839
0.7594 0.2406 0.4247
0.2406 0.7594 0.9247
0.7594 0.2406 0.0753
0.2406 0.7594 0.5753
0.4145 0.5855 0.7500
0.5855 0.4145 0.2500
```

E_tot = -41.80 eV/cell



2.
Compound: MoPt3
Source: Alexandria
Functional: PBE
Structure: relaxed

Structure (POSCAR):
```
MoPt3
1.0
-0.7875 4.2231 2.3249
-0.5832 -3.7539 3.0705
2.6995 0.1322 0.6743
Pt Mo
3 1
direct
0.0000 0.5000 0.5000
0.5000 0.5000 0.0000
0.5000 0.0000 0.5000
0.0000 0.0000 0.0000
```

E_tot = -29.50 eV/cell



3.
Compound: Pm2MgSi3Pt12
Source: Alexandria
Functional: PBE
Structure: relaxed

Structure (POSCAR):
```
Pm2MgSi3Pt12
1.0
-4.0312 2.1254 -6.0692
-1.9187 -5.7772 -4.5328
-7.3409 -1.8779 0.4341
Pt Si Mg Pm
12 3 1 2
direct
0.1357 0.1357 0.6229
0.3528 0.3528 0.8977
0.1023 0.6472 0.6472
0.1357 0.6229 0.1357
0.3771 0.8643 0.8643
0.6472 0.6472 0.1023
0.8643 0.8643 0.3771
0.6472 0.1023 0.6472
0.8977 0.3528 0.3528
0.3528 0.8977 0.3528
0.6229 0.1357 0.1357
0.8643 0.3771 0.8643
0.0000 0.0000 0.5000
0.5000 0.0000 0.0000
0.0000 0.5000 0.0000
0.0000 0.0000 0.0000
0.3915 0.3915 0.3915
0.6085 0.6085 0.6085
```

ΔE_f (raw) = -535 meV/atom